Entry from the Alexandria database: a geometry-optimized Ca2YNi structure (GGA-PBE).

abc: 4.4283 4.4746 5.4031
angles: 90.00 90.00 90.00
Last column: nearest neighbours and their distance in Å.
Space group Pmmm (No. 47)
One atom of each set of equivalent atoms:
Ca 0.0000 0.0000 0.0000  4 Ca 3.15, 4 Ni 3.49, 4 Y 3.51
Ca 0.5000 0.5000 0.0000  4 Ca 3.15, 4 Y 3.49, 4 Ni 3.51
Y 0.0000 0.5000 0.5000  4 Ni 3.15, 8 Ca 3.49-3.51
Ni 0.5000 0.0000 0.5000  4 Y 3.15, 8 Ca 3.49-3.51

Values from the calculation:
- final energy (eV/f.u.) = -15.41
- calculated formation energy (eV/atom) = 0.21
- energy above the most stable polymorph in this dataset (eV/atom) = 0.3170

---

Entry from the Alexandria database: a geometry-optimized KZrW2 structure (GGA-PBE).

abc: 3.1298 4.7569 11.1290
angles: 90.00 90.00 90.00
Last column: nearest neighbours and their distance in Å.
Space group Cmmm (No. 65)
One atom of each set of equivalent atoms:
K 0.0000 0.0000 0.0000  6 K 2.85-3.13
Zr 0.0000 0.0000 0.5000  6 Zr 2.85-3.13, 4 W 2.90
W 0.0000 0.5000 0.2806  6 W 2.85-3.13, 2 Zr 2.90

Values from the calculation:
- final energy (eV/f.u.) = -32.06
- calculated formation energy (eV/atom) = 0.87
- energy above the most stable polymorph in this dataset (eV/atom) = 0.1906

---

Entry from the Alexandria database: a geometry-optimized TlTcAs2 structure (GGA-PBE).

abc: 3.3770 8.5903 3.3781
angles: 90.00 119.93 90.00
Last column: nearest neighbours and their distance in Å.
Space group Pm (No. 6)
One atom of each set of equivalent atoms:
Tl 0.0000 0.0000 0.0000  6 As 3.30-3.35, 6 Tl 3.38
Tc 0.0043 0.5000 0.9858  6 As 2.53
As 0.3376 0.3129 0.6525  3 Tc 2.53

Values from the calculation:
- final energy (eV/f.u.) = -22.50
- calculated formation energy (eV/atom) = -0.12
- energy above the most stable polymorph in this dataset (eV/atom) = 0.0049

---

Entry from the Alexandria database: a geometry-optimized BaLaMg2 structure (GGA-PBE).

abc: 13.3535 3.9441 5.9255
angles: 90.00 116.28 90.00
Last column: nearest neighbours and their distance in Å.
Space group Cm (No. 8)
One atom of each set of equivalent atoms:
Ba 0.0000 0.0000 0.0000  6 Mg 3.60-3.71, 2 La 3.83-3.84, 2 Ba 3.94
La 0.2963 0.5000 0.2977  6 Mg 3.57-3.63, 2 Ba 3.83-3.84, 2 La 3.94
Mg 0.0447 0.5000 0.5444  2 Mg 3.04
Mg 0.2376 0.0000 0.7390  2 Mg 3.04

Values from the calculation:
- final energy (eV/f.u.) = -9.96
- calculated formation energy (eV/atom) = 0.02

---

Entry from the Alexandria database: a geometry-optimized Nb2CuNiH structure (GGA-PBE).

abc: 4.0618 4.0618 3.7488
angles: 90.00 90.00 90.00
Last column: nearest neighbours and their distance in Å.
Space group P4/mmm (No. 123)
One atom of each set of equivalent atoms:
Nb 0.0000 0.5000 0.0000  2 H 2.03
Cu 0.0000 0.0000 0.5000  8 Nb 2.76, 4 Ni 2.87
Ni 0.5000 0.5000 0.5000  2 H 1.87
H 0.5000 0.5000 0.0000  2 Ni 1.87, 4 Nb 2.03

Values from the calculation:
- final energy (eV/f.u.) = -33.73
- energy above the most stable polymorph in this dataset (eV/atom) = 0.0000

---

Entry from the Alexandria database: a geometry-optimized SrPb2Se structure (GGA-PBE).

abc: 4.4493 4.4493 6.4601
angles: 90.00 90.00 90.00
Last column: nearest neighbours and their distance in Å.
Space group P4/mmm (No. 123)
One atom of each set of equivalent atoms:
Sr 0.0000 0.0000 0.0000  4 Se 3.15
Pb 0.0000 0.5000 0.5000  4 Pb 3.15
Se 0.5000 0.5000 0.0000  4 Sr 3.15

Values from the calculation:
- formation energy (no corrections) (eV per atom) = -0.603
- final energy (eV/f.u.) = -15.00

---

Entry from the Alexandria database: a geometry-optimized TiHg2Pb2 structure (GGA-PBE).

abc: 7.7873 7.7873 4.3953
angles: 90.00 90.00 90.00
Last column: nearest neighbours and their distance in Å.
Space group P4/mbm (No. 127)
One atom of each set of equivalent atoms:
Ti 0.0000 0.0000 0.0000  4 Pb 2.93
Hg 0.1508 0.3492 0.5000  6 Pb 3.04-3.26, 1 Hg 3.32
Pb 0.1579 0.6579 0.0000  2 Ti 2.93, 6 Hg 3.04-3.26

Values from the calculation:
- final energy (eV/f.u.) = -14.16
- calculated formation energy (eV/atom) = 0.35
- energy above the most stable polymorph in this dataset (eV/atom) = 0.0552

---

Entry from the Alexandria database: a geometry-optimized LaOsPb2 structure (GGA-PBE).

abc: 4.4898 4.5066 4.9556
angles: 90.00 90.00 90.00
Last column: nearest neighbours and their distance in Å.
Space group Pmmm (No. 47)
One atom of each set of equivalent atoms:
La 0.0000 0.0000 0.0000  4 Os 3.18, 8 Pb 3.34-3.35
Os 0.5000 0.5000 0.0000  4 La 3.18, 8 Pb 3.34-3.35
Pb 0.0000 0.5000 0.5000  4 Pb 3.18, 4 Os 3.34, 4 La 3.35
Pb 0.5000 0.0000 0.5000  4 Pb 3.18, 4 La 3.34, 4 Os 3.35

Values from the calculation:
- final energy (eV/f.u.) = -22.55
- calculated formation energy (eV/atom) = 0.26
- energy above the most stable polymorph in this dataset (eV/atom) = 0.1828

---

Entry from the Alexandria database: a geometry-optimized Y2ScZnN structure (GGA-PBE).

abc: 4.8282 4.8282 4.3631
angles: 90.00 90.00 90.00
Last column: nearest neighbours and their distance in Å.
Space group P4/mmm (No. 123)
One atom of each set of equivalent atoms:
Y 0.0000 0.5000 0.0000  2 N 2.41
Sc 0.0000 0.0000 0.5000  2 N 2.18
Zn 0.5000 0.5000 0.5000  8 Y 3.25, 4 Sc 3.41
N 0.0000 0.0000 0.0000  2 Sc 2.18, 4 Y 2.41

Values from the calculation:
- formation energy (no corrections) (eV per atom) = -0.858
- final energy (eV/f.u.) = -33.15

---

Entry from the Alexandria database: a geometry-optimized CaTbMg2Hg4 structure (GGA-PBE).

abc: 5.0847 5.0847 25.2315
angles: 90.00 90.00 120.00
Last column: nearest neighbours and their distance in Å.
Space group R-3m (No. 166, hexagonal axes)
One atom of each set of equivalent atoms:
Ca 0.0000 0.0000 0.0000  8 Hg 3.13-3.15
Tb 0.0000 0.0000 0.5000  8 Hg 3.12-3.13
Mg 0.0000 0.0000 0.2496  8 Hg 3.11-3.19
Hg 0.0000 0.0000 0.1250  4 Mg 3.11-3.15, 3 Tb 3.12, 1 Ca 3.15
Hg 0.0000 0.0000 0.3759  4 Mg 3.11-3.19, 3 Ca 3.13, 1 Tb 3.13

Values from the calculation:
- final energy (eV/f.u.) = -14.56
- calculated formation energy (eV/atom) = -0.44

---

Entry from the Alexandria database: a geometry-optimized PmGe4Au structure (GGA-PBE).

abc: 7.9138 7.9138 7.9138
angles: 90.00 90.00 90.00
Last column: nearest neighbours and their distance in Å.
Space group F-43m (No. 216)
One atom of each set of equivalent atoms:
Pm 0.0000 0.0000 0.0000  12 Ge 3.28, 4 Au 3.43
Ge 0.1242 0.1242 0.3758  6 Ge 2.78-2.82
Au 0.2500 0.2500 0.7500  12 Ge 3.28, 4 Pm 3.43

Values from the calculation:
- final energy (eV/f.u.) = -27.36
- calculated formation energy (eV/atom) = -0.14

---

Entry from the Alexandria database: a geometry-optimized Ac3Hg3Au2 structure (GGA-PBE).

abc: 8.1697 8.1697 4.1604
angles: 90.00 90.00 120.00
Last column: nearest neighbours and their distance in Å.
Space group P-62m (No. 189)
One atom of each set of equivalent atoms:
Ac 0.0000 0.4027 0.0000  4 Au 3.24, 4 Hg 3.54
Hg 0.0000 0.7678 0.5000  2 Au 3.22, 2 Hg 3.29, 4 Ac 3.54
Au 0.3333 0.6667 0.5000  3 Hg 3.22, 6 Ac 3.24

Values from the calculation:
- final energy (eV/f.u.) = -24.82
- calculated formation energy (eV/atom) = -0.63
- energy above the most stable polymorph in this dataset (eV/atom) = 0.0000

---

In the order shown, the computed V values come out to 107, 166, 85, 280, 62, 128, 267, 100, 102, 565, 496, 240 Å³/cell.